PBE CsVZn, optimized geometry; crystal system = triclinic; VASP energy = -3.319 eV per atom; size of the total moment = 0.00 μB per formula unit; N(E_F) = 0.77 states/eV per atom; SG = P-1
1.0
-11.5279 -3.7274 5.1049
-0.8112 -1.8098 -3.1636
2.0562 -3.1167 1.2556
Zn V Cs
2 2 2
Cartesian
-7.7152 -5.5012 1.5044
-5.1203 -5.7946 1.0066
-5.9231 -6.1000 3.5908
-6.1012 -3.3860 2.0839
-9.1009 -6.6721 4.7350
-2.9225 -2.8120 0.9433

PBE Cs2SnAuF6, optimized geometry; crystal system = tetragonal; size of the total moment = 0.00 μB per formula unit; N(E_F) = 0.39 states/eV per atom; SG = I4/mmm; uncorrected formation energy = -2186 meV per atom
1.0
6.8337 0.0000 0.0000
0.0000 6.8337 0.0000
3.4169 3.4169 4.8528
F Sn Cs Au
6 1 2 1
Cartesian
6.8337 6.8337 2.8272
1.9845 4.8492 0.0000
4.8492 1.9845 0.0000
1.9845 1.9845 0.0000
4.8492 4.8492 0.0000
3.4169 3.4169 2.0256
3.4169 3.4169 0.0000
3.4169 6.8337 2.4264
6.8337 3.4169 2.4264
0.0000 0.0000 0.0000